No. 1
Entry from the Alexandria database: an optimized crystal structure of Sm2Dy3Y6 (PBE).

Geometry as POSCAR:
```
Sm2Dy3Y6
1.0
10.8435 0.0000 0.0000
0.0000 6.0044 0.0000
0.0000 0.0000 11.3023
Sm Dy Y
4 6 12
Direct
0.5623 0.2379 0.0000 Sm
0.0623 0.2621 0.5000 Sm
0.9377 0.7379 0.5000 Sm
0.4377 0.7621 0.0000 Sm
0.5000 0.5000 0.5000 Dy
0.0000 0.5000 0.7933 Dy
0.0000 0.5000 0.2067 Dy
0.5000 0.0000 0.2933 Dy
0.5000 0.0000 0.7067 Dy
0.0000 0.0000 0.0000 Dy
0.2230 0.3811 0.0000 Y
0.3171 0.4743 0.2794 Y
0.3171 0.4743 0.7206 Y
0.8171 0.0257 0.7794 Y
0.8171 0.0257 0.2206 Y
0.7230 0.1189 0.5000 Y
0.2770 0.8811 0.5000 Y
0.1829 0.9743 0.2206 Y
0.1829 0.9743 0.7794 Y
0.6829 0.5257 0.7206 Y
0.6829 0.5257 0.2794 Y
0.7770 0.6189 0.0000 Y
```

Summary:
energy above the lowest structure with this stoichiometry = 0.0000 eV per atom
energy of formation = 2.44 eV/f.u.
space-group type = Pnnm, No. 58

No. 2
Entry from the Alexandria database: an optimized crystal structure of Sm5DyY4 (PBE).

Geometry as POSCAR:
```
Sm5DyY4
1.0
6.0223 0.0000 0.0000
3.0111 7.5015 0.0000
3.0111 0.0000 7.5015
Sm Dy Y
5 1 4
Direct
0.7650 0.3766 0.9997 Sm
0.1416 0.9997 0.6234 Sm
0.7646 0.0003 0.3766 Sm
0.1413 0.6234 0.0003 Sm
0.6871 0.0000 0.0000 Sm
0.2197 0.0000 0.0000 Dy
0.4476 0.3238 0.6766 Y
0.7714 0.6766 0.6762 Y
0.1242 0.3234 0.3238 Y
0.4479 0.6762 0.3234 Y
```

Summary:
energy above the lowest structure with this stoichiometry = 0.0303 eV per atom
energy of formation = 2.50 eV/f.u.
space-group type = I4mm, No. 107

No. 3
Entry from the Alexandria database: an optimized crystal structure of Sm2Dy2Y3 (PBE).

Geometry as POSCAR:
```
Sm2Dy2Y3
1.0
-0.6574 3.6256 -7.6118
-1.5524 -8.2851 -0.6804
-5.6060 3.4940 5.2803
Sm Dy Y
4 4 6
Direct
0.0000 0.0000 0.8102 Sm
0.5000 0.8102 0.5000 Sm
0.1898 0.6898 0.6898 Sm
0.3102 0.5000 0.0000 Sm
0.0000 0.0000 0.4146 Dy
0.5000 0.4146 0.5000 Dy
0.5854 0.0854 0.0854 Dy
0.9146 0.5000 0.0000 Dy
0.6919 0.7500 0.9419 Y
0.8081 0.2500 0.5581 Y
0.0581 0.3081 0.2500 Y
0.4419 0.1919 0.7500 Y
0.2500 0.9419 0.1919 Y
0.7500 0.5581 0.3081 Y
```

Summary:
energy above the lowest structure with this stoichiometry = 0.1102 eV per atom
energy of formation = 1.63 eV/f.u.
space-group type = I2_13, No. 199

No. 4
Entry from the Alexandria database: an optimized crystal structure of Sm2Dy3Y3 (PBE).

Geometry as POSCAR:
```
Sm2Dy3Y3
1.0
-2.5302 -1.2002 2.2731
-3.7865 -1.5489 -7.8941
7.0092 -15.4155 -0.3374
Sm Dy Y
4 6 6
Direct
0.7877 0.5754 0.6492 Sm
0.2123 0.4246 0.1492 Sm
0.7877 0.5754 0.8508 Sm
0.2123 0.4246 0.3508 Sm
0.0062 0.0124 0.1006 Dy
0.9938 0.9876 0.6006 Dy
0.0062 0.0124 0.3994 Dy
0.9938 0.9876 0.8994 Dy
0.5773 0.1546 0.2500 Dy
0.4227 0.8454 0.7500 Dy
0.6460 0.2919 0.9837 Y
0.3540 0.7081 0.4837 Y
0.6460 0.2919 0.5163 Y
0.3540 0.7081 0.0163 Y
0.3878 0.7756 0.2500 Y
0.6122 0.2244 0.7500 Y
```

Summary:
energy above the lowest structure with this stoichiometry = 0.1054 eV per atom
energy of formation = 1.02 eV/f.u.
space-group type = Cmcm, No. 63

No. 5
Entry from the Alexandria database: an optimized crystal structure of Sm8DyY4 (PBE).

Geometry as POSCAR:
```
Sm8DyY4
1.0
-8.2704 -1.4159 -7.3090
-0.9393 -4.0562 10.3194
3.9585 6.1884 2.7928
Sm Dy Y
8 1 4
Direct
0.5184 0.7592 0.2776 Sm
0.4816 0.2408 0.7224 Sm
0.4814 0.2407 0.2397 Sm
0.0009 0.2416 0.7602 Sm
0.5186 0.7593 0.7603 Sm
0.0009 0.7593 0.7602 Sm
0.9991 0.2407 0.2398 Sm
0.9991 0.7584 0.2398 Sm
0.0000 0.5000 0.5000 Dy
0.0000 0.0000 0.0000 Y
0.0000 0.5000 0.0000 Y
0.5000 0.5000 0.0000 Y
0.5000 0.0000 0.0000 Y
```

Summary:
energy of formation = 6.47 eV/f.u.
space-group type = R-3m, No. 166

No. 6
Entry from the Alexandria database: an optimized crystal structure of SmDy5Y5 (PBE).

Geometry as POSCAR:
```
SmDy5Y5
1.0
6.0978 0.0000 0.0000
-3.0489 5.2808 0.0000
0.0000 0.0000 11.4960
Sm Dy Y
1 5 5
Direct
0.3333 0.6667 0.0000 Sm
0.3364 0.1682 0.5000 Dy
0.0000 0.0000 0.2654 Dy
0.8318 0.6636 0.5000 Dy
0.8318 0.1682 0.5000 Dy
0.0000 0.0000 0.7346 Dy
0.6667 0.3333 0.1604 Y
0.6667 0.3333 0.8396 Y
0.3333 0.6667 0.3234 Y
0.3333 0.6667 0.6766 Y
0.0000 0.0000 0.0000 Y
```

Summary:
energy above the lowest structure with this stoichiometry = 0.1537 eV per atom
energy of formation = 3.30 eV/f.u.
space-group type = P-6m2, No. 187

No. 7
Entry from the Alexandria database: an optimized crystal structure of SmDy4Y2 (PBE).

Geometry as POSCAR:
```
SmDy4Y2
1.0
6.1295 0.0000 -0.4131
0.0000 6.5604 0.0000
-2.6002 0.0000 11.3685
Sm Dy Y
2 8 4
Direct
0.1780 0.7500 0.1433 Sm
0.8220 0.2500 0.8567 Sm
0.6432 0.4926 0.2886 Dy
0.9935 0.7500 0.8414 Dy
0.0065 0.2500 0.1586 Dy
0.6432 0.0074 0.2886 Dy
0.8615 0.2500 0.5727 Dy
0.3568 0.9926 0.7114 Dy
0.3568 0.5074 0.7114 Dy
0.1385 0.7500 0.4273 Dy
0.6118 0.7500 0.0061 Y
0.3882 0.2500 0.9939 Y
0.2959 0.2500 0.4453 Y
0.7041 0.7500 0.5547 Y
```

Summary:
energy above the lowest structure with this stoichiometry = 0.0872 eV per atom
energy of formation = 0.90 eV/f.u.
space-group type = P2_1/m, No. 11

No. 8
Entry from the Alexandria database: an optimized crystal structure of Sm2DyY (PBE).

Geometry as POSCAR:
```
Sm2DyY
1.0
-1.5519 3.0115 -1.1995
-2.3509 -1.9612 -1.8823
-6.3060 -0.0797 7.9587
Y Sm Dy
1 2 1
Direct
0.5000 0.5000 0.5000 Y
0.0000 0.0000 0.7513 Sm
0.0000 0.0000 0.2487 Sm
0.5000 0.5000 0.0000 Dy
```

Summary:
energy above the lowest structure with this stoichiometry = 0.0057 eV per atom
energy of formation = 0.07 eV/f.u.
space-group type = P4/mmm, No. 123

No. 9
Entry from the Alexandria database: an optimized crystal structure of SmDyYZn (PBE).

Geometry as POSCAR:
```
SmDyYZn
1.0
3.5846 0.0000 0.0000
0.0000 3.5846 0.0000
0.0000 0.0000 8.6980
Sm Dy Y Zn
1 1 1 1
Direct
0.0000 0.0000 0.0732 Sm
0.5000 0.5000 0.3669 Dy
0.5000 0.5000 0.7746 Y
0.0000 0.0000 0.5700 Zn
```

Summary:
energy of formation = -0.66 eV/f.u.
space-group type = P4mm, No. 99

No. 10
Entry from the Alexandria database: an optimized crystal structure of Sm3Dy6Y2Zr (PBE).

Geometry as POSCAR:
```
Sm3Dy6Y2Zr
1.0
6.1240 0.0033 0.0038
-3.0576 5.3060 0.0038
-1.0201 -1.7664 11.5068
Sm Dy Y Zr
3 6 2 1
Direct
0.1663 0.8337 0.5000 Sm
0.8337 0.1663 0.5000 Sm
0.5000 0.5000 0.5000 Sm
0.9192 0.5932 0.7566 Dy
0.7551 0.7551 0.2430 Dy
0.0808 0.4068 0.2434 Dy
0.5932 0.9192 0.7566 Dy
0.2449 0.2449 0.7570 Dy
0.4068 0.0808 0.2434 Dy
0.3332 0.6668 0.0000 Y
0.6668 0.3332 0.0000 Y
0.0000 0.0000 0.0000 Zr
```

Summary:
energy of formation = 0.53 eV/f.u.
space-group type = C2/m, No. 12

No. 11
Entry from the Alexandria database: an optimized crystal structure of SmDyYZr (PBE).

Geometry as POSCAR:
```
SmDyYZr
1.0
5.5284 0.0000 0.0000
2.7642 4.7877 0.0000
2.7642 1.5959 4.5139
Y Zr Sm Dy
1 1 1 1
Direct
0.7500 0.7500 0.7500 Y
0.0000 0.0000 0.0000 Zr
0.5000 0.5000 0.5000 Sm
0.2500 0.2500 0.2500 Dy
```

Summary:
energy of formation = 0.91 eV/f.u.
space-group type = F-43m, No. 216

No. 12
Entry from the Alexandria database: an optimized crystal structure of Sm3Dy2Y6Zr (PBE).

Geometry as POSCAR:
```
Sm3Dy2Y6Zr
1.0
6.1416 0.0026 0.0054
-3.0671 5.3210 0.0054
-1.0281 -1.7802 11.5336
Sm Dy Y Zr
3 2 6 1
Direct
0.1663 0.8337 0.5000 Sm
0.8337 0.1663 0.5000 Sm
0.5000 0.5000 0.5000 Sm
0.3332 0.6668 0.0000 Dy
0.6668 0.3332 0.0000 Dy
0.9193 0.5926 0.7571 Y
0.7542 0.7542 0.2426 Y
0.0807 0.4074 0.2429 Y
0.5926 0.9193 0.7571 Y
0.2458 0.2458 0.7574 Y
0.4074 0.0807 0.2429 Y
0.0000 0.0000 0.0000 Zr
```

Summary:
energy of formation = 0.58 eV/f.u.
space-group type = C2/m, No. 12